Below is a geometry-optimized BaDyCu2Se4 structure, with properties calculated at the PBE-GGA level.

Cell and atoms, written as POSCAR:
```
BaDyCu2Se4
1.0
-3.494 3.494 4.319
3.494 -3.494 4.319
3.494 3.494 -4.319
Ba Dy Cu Se
1 1 2 4
direct
0.000 0.000 0.000 Ba
0.500 0.500 0.000 Dy
0.250 0.750 0.500 Cu
0.750 0.250 0.500 Cu
0.080 0.080 0.566 Se
0.485 0.920 0.000 Se
0.515 0.515 0.434 Se
0.920 0.485 0.000 Se
```

The calculation puts the formation energy from raw total energies at -1023 meV per atom. For the calculated density, the calculation gives 5.8 Mg/m³. Its symmetry is No. 121. As for the crystal system: tetragonal.



Below is a geometry-optimized BaDy2CuTe4 structure, with properties calculated at the PBE-GGA level.

Cell and atoms, written as POSCAR:
```
BaDy2CuTe4
1.0
2.222 -7.415 0.000
2.222 7.415 0.000
0.000 0.000 15.318
Ba Dy Cu Te
2 4 2 8
direct
0.120 0.880 0.750 Ba
0.880 0.120 0.250 Ba
0.372 0.628 0.561 Dy
0.372 0.628 0.939 Dy
0.628 0.372 0.061 Dy
0.628 0.372 0.439 Dy
0.153 0.847 0.250 Cu
0.847 0.153 0.750 Cu
0.000 0.000 0.000 Te
0.000 0.000 0.500 Te
0.267 0.733 0.115 Te
0.267 0.733 0.385 Te
0.440 0.560 0.750 Te
0.560 0.440 0.250 Te
0.733 0.267 0.615 Te
0.733 0.267 0.885 Te
```

The calculation puts the formation energy from raw total energies at -1219 meV per atom. For the calculated density, the calculation gives 6.8 Mg/m³. Its symmetry is No. 63. As for the crystal system: orthorhombic.